1.
SCAN SrZn2Ag, PBEsol geometry; energy relative to the elements = -235 meV per atom; raw total energy = -244.837 eV/cell
1.0
4.4419 0.0000 0.0000
-2.2210 3.8468 0.0000
0.0000 0.0000 15.9723
Sr Zn Ag
3 6 3
direct
0.0000 0.0000 0.0000 Sr
0.3333 0.6667 0.6667 Sr
0.6667 0.3333 0.3333 Sr
0.0000 0.0000 0.1977 Zn
0.0000 0.0000 0.8023 Zn
0.3333 0.6667 0.4690 Zn
0.3333 0.6667 0.8643 Zn
0.6667 0.3333 0.1357 Zn
0.6667 0.3333 0.5310 Zn
0.0000 0.0000 0.5000 Ag
0.3333 0.6667 0.1667 Ag
0.6667 0.3333 0.8333 Ag

=====

2.
SCAN Na2HgGeBi, PBEsol geometry; energy relative to the elements = 154 meV per atom; raw total energy = -173.493 eV/cell
1.0
5.3565 0.0000 0.0000
0.0000 5.3565 0.0000
0.0000 0.0000 5.1631
Na Hg Ge Bi
2 1 1 1
direct
0.0000 0.5000 0.0000 Na
0.5000 0.0000 0.0000 Na
0.0000 0.0000 0.0000 Hg
0.0000 0.0000 0.5000 Ge
0.5000 0.5000 0.5000 Bi

=====

3.
SCAN LiP3, PBEsol geometry; energy relative to the elements = 307 meV per atom; energy above the lowest structure with this stoichiometry = 146 meV per atom; raw total energy = -32.357 eV/cell
1.0
3.8037 0.0000 0.0000
0.0000 3.8037 0.0000
0.0000 0.0000 3.8037
Li P
1 3
direct
0.0000 0.0000 0.0000 Li
0.0000 0.5000 0.5000 P
0.5000 0.0000 0.5000 P
0.5000 0.5000 0.0000 P

=====

4.
SCAN LiYZn2, PBEsol geometry; energy relative to the elements = -263 meV per atom; raw total energy = -58.316 eV/cell
1.0
3.3029 0.0000 0.0000
0.0000 3.3029 0.0000
0.0000 0.0000 6.6716
Li Y Zn
1 1 2
direct
0.0000 0.0000 0.0000 Li
0.0000 0.0000 0.5000 Y
0.5000 0.5000 0.2061 Zn
0.5000 0.5000 0.7939 Zn

=====

5.
SCAN HgNOF2, PBEsol geometry; E_form (uncorrected) = 542 meV/atom; raw total energy = -88.060 eV/cell
1.0
3.6105 0.0000 0.0000
0.0000 3.6105 0.0000
0.0000 0.0000 4.0658
Hg N O F
1 1 1 2
direct
0.0000 0.0000 0.0000 Hg
0.5000 0.5000 0.5000 N
0.5000 0.5000 0.0000 O
0.0000 0.5000 0.5000 F
0.5000 0.0000 0.5000 F

=====

6.
SCAN CaAl2Hg, PBEsol geometry; energy relative to the elements = -241 meV per atom; raw total energy = -94.298 eV/cell
1.0
3.3543 0.0000 0.0000
0.0000 4.6427 0.0000
0.0000 0.0000 5.6417
Ca Al Hg
1 2 1
direct
0.0000 0.0000 0.0000 Ca
0.5000 0.0000 0.4915 Al
0.5000 0.5000 0.2529 Al
0.5000 0.5000 0.7567 Hg

=====

no.,calculated volume (Å³ per atom)
1,22.744
2,29.628
3,13.758
4,18.195
5,10.600
6,21.965